# 1
Material: EuZnPdRh
Method: DFT, PBE
State: relaxed

Cell: 4.680 4.680 4.680 Å, 60.00 60.00 60.00°
Fractional coordinates of all 4 atoms:
Eu: 0.000 0.000 0.000
Zn: 0.500 0.500 0.500
Pd: 0.250 0.250 0.250
Rh: 0.750 0.750 0.750

# 2
Material: NdSm2ScAs4
Method: DFT, PBE
State: relaxed

Cell: 7.188 4.161 7.193 Å, 90.00 109.48 90.00°
Fractional coordinates of all 8 atoms:
Nd: 0.000 0.000 0.000
Sm: 0.000 0.500 0.500
Sm: 0.500 0.000 0.500
Sc: 0.500 0.500 0.000
As: 0.259 0.500 0.246
As: 0.264 0.000 0.762
As: 0.736 0.000 0.238
As: 0.741 0.500 0.754

# 3
Material: YHo5Sc4
Method: DFT, PBE
State: relaxed

- E above lowest polymorph: 0 meV per atom

Cell: 3.463 3.463 23.662 Å, 90.00 90.00 90.00°
Fractional coordinates of all 10 atoms:
Y: 0.000 0.000 0.000
Ho: 0.500 0.500 0.109
Ho: 0.500 0.500 0.305
Ho: 0.500 0.500 0.500
Ho: 0.500 0.500 0.695
Ho: 0.500 0.500 0.891
Sc: 0.000 0.000 0.207
Sc: 0.000 0.000 0.402
Sc: 0.000 0.000 0.598
Sc: 0.000 0.000 0.793

# 4
Material: Na3Nd2MnSe6
Method: DFT, PBE
State: relaxed

- Energy relative to the elements, uncorrected: -1305 meV per atom

Cell: 7.186 7.186 7.391 Å, 99.18 99.18 120.35°
Fractional coordinates of all 12 atoms:
Na: 0.000 0.000 0.000
Na: 0.331 0.669 0.000
Na: 0.669 0.331 0.000
Nd: 0.168 0.832 0.500
Nd: 0.832 0.168 0.500
Mn: 0.500 0.500 0.500
Se: 0.112 0.421 0.268
Se: 0.278 0.278 0.716
Se: 0.421 0.112 0.268
Se: 0.579 0.888 0.732
Se: 0.722 0.722 0.284
Se: 0.888 0.579 0.732

# 5
Material: HfAsSeN2
Method: DFT, PBE
State: relaxed

- Energy relative to the elements, uncorrected: 450 meV per atom
- E above lowest polymorph: 0 meV per atom

Cell: 4.094 4.094 5.527 Å, 90.00 90.00 90.00°
Fractional coordinates of all 5 atoms:
Hf: 0.000 0.000 0.000
As: 0.500 0.500 0.500
Se: 0.000 0.000 0.500
N: 0.000 0.500 0.000
N: 0.500 0.000 0.000

# 6
Material: PrEr12Sc3
Method: DFT, PBE
State: relaxed

Cell: 4.918 4.918 19.635 Å, 90.00 90.00 90.00°
Fractional coordinates of all 16 atoms:
Pr: 0.000 0.000 0.000
Er: 0.000 0.500 0.131
Er: 0.000 0.500 0.377
Er: 0.000 0.500 0.623
Er: 0.000 0.500 0.869
Er: 0.500 0.000 0.131
Er: 0.500 0.000 0.377
Er: 0.500 0.000 0.623
Er: 0.500 0.000 0.869
Er: 0.500 0.500 0.000
Er: 0.500 0.500 0.255
Er: 0.500 0.500 0.500
Er: 0.500 0.500 0.745
Sc: 0.000 0.000 0.254
Sc: 0.000 0.000 0.500
Sc: 0.000 0.000 0.746

# 7
Material: LaZr2Sc
Method: DFT, PBE
State: relaxed

- E above lowest polymorph: 32 meV per atom

Cell: 5.684 5.684 5.684 Å, 130.58 130.58 72.48°
Fractional coordinates of all 4 atoms:
La: 0.000 0.000 0.000
Zr: 0.500 0.500 0.000
Zr: 0.750 0.250 0.500
Sc: 0.250 0.750 0.500

# 8
Material: Er2CdAg6
Method: DFT, PBE
State: relaxed

- E above lowest polymorph: 0 meV per atom

Cell: 8.960 8.960 4.552 Å, 90.00 90.00 90.00°
Fractional coordinates of all 18 atoms:
Er: 0.193 0.193 0.000
Er: 0.307 0.693 0.500
Er: 0.693 0.307 0.500
Er: 0.807 0.807 0.000
Cd: 0.000 0.000 0.500
Cd: 0.500 0.500 0.000
Ag: 0.029 0.343 0.500
Ag: 0.144 0.856 0.000
Ag: 0.157 0.529 0.000
Ag: 0.343 0.029 0.500
Ag: 0.356 0.356 0.500
Ag: 0.471 0.843 0.000
Ag: 0.529 0.157 0.000
Ag: 0.644 0.644 0.500
Ag: 0.657 0.971 0.500
Ag: 0.843 0.471 0.000
Ag: 0.856 0.144 0.000
Ag: 0.971 0.657 0.500

# 9
Material: Ca2ZrBr
Method: DFT, PBE
State: relaxed

- Energy relative to the elements, uncorrected: -168 meV per atom
- E above lowest polymorph: 306 meV per atom

Cell: 3.467 3.467 9.701 Å, 90.00 90.00 90.00°
Fractional coordinates of all 4 atoms:
Ca: 0.000 0.000 0.000
Ca: 0.500 0.500 0.318
Zr: 0.000 0.000 0.576
Br: 0.500 0.500 0.768

# 10
Material: TeIr2Au
Method: DFT, PBE
State: relaxed

- Energy relative to the elements, uncorrected: 564 meV per atom
- E above lowest polymorph: 272 meV per atom

Cell: 4.326 4.326 3.715 Å, 90.00 90.00 90.00°
Fractional coordinates of all 4 atoms:
Te: 0.000 0.000 0.000
Ir: 0.000 0.500 0.500
Ir: 0.500 0.000 0.500
Au: 0.500 0.500 0.000

# 11
Material: Re3AsPb
Method: DFT, PBE
State: relaxed

- E above lowest polymorph: 1722 meV per atom

Cell: 4.978 4.978 4.978 Å, 90.00 90.00 90.00°
Fractional coordinates of all 5 atoms:
Re: 0.000 0.000 0.500
Re: 0.000 0.500 0.000
Re: 0.500 0.000 0.000
As: 0.500 0.500 0.500
Pb: 0.000 0.000 0.000

# 12
Material: Dy3YN3
Method: DFT, PBE
State: relaxed

- Energy relative to the elements, uncorrected: -1389 meV per atom

Cell: 4.912 4.912 4.912 Å, 90.00 90.00 90.00°
Fractional coordinates of all 7 atoms:
Dy: 0.000 0.000 0.500
Dy: 0.000 0.500 0.000
Dy: 0.500 0.000 0.000
Y: 0.500 0.500 0.500
N: 0.000 0.500 0.500
N: 0.500 0.000 0.500
N: 0.500 0.500 0.000

Table of DOS at the Fermi energy (states/eV per cell), in record order: 9.06, 0.61, 16.79, 3.78, 4.43, 24.01, 5.64, 9.83, 3.30, 4.81, 5.87, 2.55
Table of energy (eV/atom), in record order: -6.39, -6.34, -5.42, -4.94, -6.50, -4.87, -6.96, -3.23, -3.72, -5.47, -5.79, -7.85
Table of total magnetization (μB/f.u.), in record order: 6.84, 0.00, 0.00, 4.00, 0.24, 0.00, 0.00, 0.00, 0.94, 0.00, 3.20, 0.00